## P
Material: LaZrSc
Method: DFT, meta-GGA SCAN
State: PBEsol geometry

Unit cell a=5.831 b=5.831 c=5.831 alpha=141.44 beta=141.44 gamma=55.67
Positions (direct):
La 0.000 0.000 0.000
Zr 0.322 0.322 0.000
Sc 0.679 0.679 0.000

Output
**Fermi-level density of states**: 1.327 states/eV/atom
**SG**: I4mm

## Q
Material: LaZrSc
Method: DFT, meta-GGA SCAN
State: PBEsol geometry

Unit cell a=4.923 b=4.923 c=4.923 alpha=60.00 beta=60.00 gamma=60.00
Positions (direct):
La 0.000 0.000 0.000
Zr 0.250 0.250 0.250
Sc 0.750 0.750 0.750

Output
**Fermi-level density of states**: 0.336 states/eV/atom
**SG**: F-43m

Most stable: P (next structure +755 meV per atom)

## P
Material: La2SiSe
Method: DFT, meta-GGA SCAN
State: PBEsol geometry

Unit cell a=4.294 b=4.294 c=6.068 alpha=90.00 beta=90.00 gamma=90.00
Positions (direct):
La 0.000 0.000 0.000
La 0.500 0.500 0.500
Si 0.000 0.000 0.500
Se 0.500 0.500 0.000

Output
**Fermi-level density of states**: 0.223 states/eV/atom
**SG**: P4/mmm

## Q
Material: La2SiSe
Method: DFT, meta-GGA SCAN
State: PBEsol geometry

Unit cell a=8.472 b=8.472 c=8.472 alpha=134.83 beta=134.83 gamma=65.79
Positions (direct):
La 0.117 0.625 0.992
La 0.375 0.367 0.492
La 0.633 0.125 0.008
La 0.875 0.883 0.508
Si 0.000 0.000 0.000
Si 0.750 0.250 0.500
Se 0.250 0.750 0.500
Se 0.500 0.500 0.000

Output
**SG**: I-42d

## R
Material: La2SiSe
Method: DFT, meta-GGA SCAN
State: PBEsol geometry

Unit cell a=7.498 b=7.498 c=7.498 alpha=33.37 beta=33.37 gamma=33.37
Positions (direct):
La 0.248 0.248 0.248
La 0.752 0.752 0.752
Si 0.500 0.500 0.500
Se 0.000 0.000 0.000

Output
**Fermi-level density of states**: 0.262 states/eV/atom
**SG**: R-3m

Most stable: P (next structure +16 meV per atom)

## P
Material: LaTaSe
Method: DFT, meta-GGA SCAN
State: PBEsol geometry

Unit cell a=6.292 b=6.292 c=6.292 alpha=149.08 beta=149.08 gamma=44.29
Positions (direct):
La 0.000 0.000 0.000
Ta 0.299 0.299 0.000
Se 0.697 0.697 0.000

Output
**Fermi-level density of states**: 0.319 states/eV/atom
**SG**: I4mm

## Q
Material: LaTaSe
Method: DFT, meta-GGA SCAN
State: PBEsol geometry

Unit cell a=4.447 b=4.447 c=4.053 alpha=90.00 beta=90.00 gamma=120.00
Positions (direct):
La 0.000 0.000 0.000
Ta 0.667 0.333 0.500
Se 0.333 0.667 0.500

Output
**Fermi-level density of states**: 0.694 states/eV/atom
**SG**: P-6m2

Most stable: P (next structure +243 meV per atom)

## P
Material: LaTaSe2
Method: DFT, meta-GGA SCAN
State: PBEsol geometry

Unit cell a=3.493 b=3.659 c=7.031 alpha=90.00 beta=90.00 gamma=90.00
Positions (direct):
La 0.000 0.000 0.000
Ta 0.500 0.000 0.500
Se 0.500 0.500 0.241
Se 0.500 0.500 0.759

Output
**Fermi-level density of states**: 0.799 states/eV/atom
**SG**: Pmmm

## Q
Material: LaTaSe2
Method: DFT, meta-GGA SCAN
State: PBEsol geometry

Unit cell a=4.936 b=4.936 c=4.936 alpha=60.00 beta=60.00 gamma=60.00
Positions (direct):
La 0.000 0.000 0.000
Ta 0.750 0.750 0.750
Se 0.250 0.250 0.250
Se 0.500 0.500 0.500

Output
**Fermi-level density of states**: 0.764 states/eV/atom
**SG**: F-43m

Most stable: P (next structure +1051 meV per atom)

## P
Material: La2TeSe
Method: DFT, meta-GGA SCAN
State: PBEsol geometry

Unit cell a=7.670 b=7.670 c=7.670 alpha=33.04 beta=33.04 gamma=33.04
Positions (direct):
La 0.241 0.241 0.241
La 0.759 0.759 0.759
Te 0.000 0.000 0.000
Se 0.500 0.500 0.500

Output
**Fermi-level density of states**: 0.432 states/eV/atom
**SG**: R-3m

## Q
Material: La2TeSe
Method: DFT, meta-GGA SCAN
State: PBEsol geometry

Unit cell a=4.654 b=6.487 c=6.487 alpha=36.72 beta=90.00 gamma=90.00
Positions (direct):
La 0.000 0.000 0.000
La 0.500 0.271 0.271
Te 0.000 0.737 0.737
Se 0.500 0.511 0.511

Output
**Fermi-level density of states**: 0.734 states/eV/atom
**SG**: Amm2

Most stable: P (next structure +219 meV per atom)

## P
Material: La2TeSe
Method: DFT, meta-GGA SCAN
State: PBEsol geometry

Unit cell a=7.991 b=7.991 c=7.991 alpha=30.99 beta=30.99 gamma=30.99
Positions (direct):
La 0.000 0.000 0.000
La 0.186 0.186 0.186
Te 0.426 0.426 0.426
Se 0.594 0.594 0.594

Output
**Fermi-level density of states**: 0.165 states/eV/atom
**SG**: R3m

## Q
Material: La2TeSe
Method: DFT, meta-GGA SCAN
State: PBEsol geometry

Unit cell a=4.393 b=4.393 c=6.224 alpha=90.00 beta=90.00 gamma=90.00
Positions (direct):
La 0.000 0.000 0.000
La 0.500 0.500 0.500
Te 0.000 0.000 0.500
Se 0.500 0.500 0.000

Output
**Fermi-level density of states**: 0.614 states/eV/atom
**SG**: P4/mmm

Most stable: P (next structure +26 meV per atom)